Record 1
Li2Ce2ErIn5: relaxed, PBE-GGA.

As for the total moment: 0.202 μB per atom. The value obtained for the calculated volume is 242.0 Å³/f.u. Its energy of formation is -0.349 eV per atom.

The structure belongs to space group P4/mbm (No. 127); the cell edges are 10.359, 10.359 and 4.509 Å and the angles 90.00°, 90.00° and 90.00°. The inequivalent atoms are Li at (0.116, 0.384, 0.000), Ce at (0.179, 0.679, 0.000), Er at (0.000, 0.000, 0.000), In at (0.000, 0.500, 0.500) and In at (0.067, 0.211, 0.500).

Record 2
HgW4Cl: relaxed, PBE-GGA.

The uncorrected formation energy is 1213 meV/atom. As for the total moment: 0.000 μB per atom. The value obtained for the calculated volume is 112.0 Å³/f.u.

The structure belongs to space group F-43m (No. 216); the cell edges are 7.652, 7.652 and 7.652 Å and the angles 90.00°, 90.00° and 90.00°. The inequivalent atoms are Hg at (0.000, 0.000, 0.000), W at (0.123, 0.123, 0.623) and Cl at (0.250, 0.250, 0.250).

- What is the formula in the first record?
  Li2Ce2ErIn5

- Which formula does entry 1 have?
  Li2Ce2ErIn5